(1)
The following is a PBEsol calculation of a relaxed La2YIn crystal, from Alexandria.

```
4
Lattice="3.548 0.000 0.000 0.000 4.610 0.000 0.000 0.000 7.099" Properties=species:S:1:pos:R:3 pbc="T T T"
La 0.000 0.000 0.000
La 1.774 2.305 1.723
Y 0.000 0.000 3.773
In 1.774 2.305 5.274
```

Values from the calculation:
total magnetic moment	0.000	μB/atom
Fermi-level density of states	5.52	states/eV/cell
E_tot	-5.388	eV/atom
E_form	-1.05	eV/f.u.

(2)
The following is a PBEsol calculation of a relaxed LaYIn crystal, from Alexandria.

```
3
Lattice="-1.792 2.262 5.255 1.792 -2.262 5.255 1.792 2.262 -5.255" Properties=species:S:1:pos:R:3 pbc="T T T"
La 0.000 0.000 0.000
Y 0.000 0.000 7.314
In 0.000 0.000 3.520
```

Values from the calculation:
total magnetic moment	0.000	μB/atom
Fermi-level density of states	3.22	states/eV/cell
E_tot	-5.380	eV/atom
E_form	-0.99	eV/f.u.

(3)
The following is a PBEsol calculation of a relaxed La2YIn crystal, from Alexandria.

```
4
Lattice="4.796 0.000 0.000 0.000 4.796 0.000 0.000 0.000 5.103" Properties=species:S:1:pos:R:3 pbc="T T T"
La 0.000 2.398 0.000
La 2.398 0.000 0.000
Y 0.000 0.000 2.551
In 2.398 2.398 2.551
```

Values from the calculation:
total magnetic moment	0.000	μB/atom
Fermi-level density of states	4.74	states/eV/cell
E_tot	-5.438	eV/atom
E_form	-1.26	eV/f.u.

(4)
The following is a PBEsol calculation of a relaxed La2YIn crystal, from Alexandria.

```
4
Lattice="3.714 0.000 0.000 0.000 4.709 0.000 0.000 0.000 6.958" Properties=species:S:1:pos:R:3 pbc="T T T"
La 0.000 0.000 1.608
La 0.000 0.000 5.350
Y 1.857 2.354 3.479
In 1.857 2.354 0.000
```

Values from the calculation:
total magnetic moment	0.000	μB/atom
Fermi-level density of states	5.50	states/eV/cell
E_tot	-5.367	eV/atom
E_form	-0.97	eV/f.u.

(5)
The following is a PBEsol calculation of a relaxed La2YIn2 crystal, from Alexandria.

```
10
Lattice="8.127 0.000 0.000 0.000 8.127 0.000 0.000 0.000 4.701" Properties=species:S:1:pos:R:3 pbc="T T T"
La 1.388 2.676 0.000
La 2.676 6.739 0.000
La 5.451 1.388 0.000
La 6.739 5.451 0.000
Y 0.000 0.000 2.351
Y 4.064 4.064 2.351
In 1.031 5.095 2.351
In 3.033 1.031 2.351
In 5.095 7.096 2.351
In 7.096 3.033 2.351
```

Values from the calculation:
total magnetic moment	0.000	μB/atom
Fermi-level density of states	13.70	states/eV/cell
E_tot	-5.118	eV/atom
E_form	-2.11	eV/f.u.

(6)
The following is a PBEsol calculation of a relaxed LaY2In crystal, from Alexandria.

```
4
Lattice="3.607 0.000 0.000 0.000 4.697 0.000 0.000 0.000 6.840" Properties=species:S:1:pos:R:3 pbc="T T T"
La 0.000 0.000 0.000
Y 0.000 0.000 3.589
Y 1.804 2.349 1.815
In 1.804 2.349 5.134
```

Values from the calculation:
total magnetic moment	0.000	μB/atom
Fermi-level density of states	5.51	states/eV/cell
E_tot	-5.735	eV/atom
E_form	-0.97	eV/f.u.

(7)
The following is a PBEsol calculation of a relaxed LaY2In crystal, from Alexandria.

```
4
Lattice="-1.931 2.644 5.801 1.931 -2.644 5.801 1.931 2.644 -5.801" Properties=species:S:1:pos:R:3 pbc="T T T"
La 0.000 0.000 0.000
Y 0.000 0.000 5.149
Y 0.000 2.644 2.545
In 1.931 0.000 2.694
```

Values from the calculation:
total magnetic moment	0.000	μB/atom
Fermi-level density of states	4.11	states/eV/cell
E_tot	-5.741	eV/atom
E_form	-0.99	eV/f.u.

(8)
The following is a PBEsol calculation of a relaxed La4ZnIn crystal, from Alexandria.

```
6
Lattice="0.000 4.488 4.488 4.488 0.000 4.488 4.488 4.488 0.000" Properties=species:S:1:pos:R:3 pbc="T T T"
La 1.113 1.113 1.113
La 3.375 3.375 1.113
La 3.375 1.113 3.375
La 1.113 3.375 3.375
Zn 4.488 4.488 4.488
In 6.732 6.732 6.732
```

Values from the calculation:
total magnetic moment	0.000	μB/atom
Fermi-level density of states	8.22	states/eV/cell
E_tot	-4.093	eV/atom
E_form	1.39	eV/f.u.

(9)
The following is a PBEsol calculation of a relaxed La2Zn2In crystal, from Alexandria.

```
5
Lattice="-2.960 2.960 3.806 2.960 -2.960 3.806 2.960 2.960 -3.806" Properties=species:S:1:pos:R:3 pbc="T T T"
La 2.960 0.000 1.903
La 0.000 2.960 1.903
Zn 0.000 0.000 1.136
Zn 0.000 0.000 6.476
In 0.000 0.000 3.806
```

Values from the calculation:
total magnetic moment	0.000	μB/atom
Fermi-level density of states	4.97	states/eV/cell
E_tot	-3.489	eV/atom
E_form	-0.61	eV/f.u.

(10)
The following is a PBEsol calculation of a relaxed La3ZrIn crystal, from Alexandria.

```
5
Lattice="5.518 0.000 0.000 0.000 5.518 0.000 0.000 0.000 5.518" Properties=species:S:1:pos:R:3 pbc="T T T"
La 0.000 0.000 2.759
La 0.000 2.759 0.000
La 2.759 0.000 0.000
Zr 0.000 0.000 0.000
In 2.759 2.759 2.759
```

Values from the calculation:
total magnetic moment	0.000	μB/atom
Fermi-level density of states	6.15	states/eV/cell
E_tot	-5.259	eV/atom
E_form	1.82	eV/f.u.

(11)
The following is a PBEsol calculation of a relaxed LaZr2In2 crystal, from Alexandria.

```
5
Lattice="-2.170 2.170 6.862 2.170 -2.170 6.862 2.170 2.170 -6.862" Properties=species:S:1:pos:R:3 pbc="T T T"
La 0.000 0.000 0.000
Zr 2.170 0.000 3.431
Zr 0.000 2.170 3.431
In 0.000 0.000 5.468
In 0.000 0.000 8.256
```

Values from the calculation:
total magnetic moment	0.000	μB/atom
Fermi-level density of states	5.43	states/eV/cell
E_tot	-6.146	eV/atom
E_form	-1.24	eV/f.u.

(12)
The following is a PBEsol calculation of a relaxed LaZr3In crystal, from Alexandria.

```
5
Lattice="5.326 0.000 0.000 0.000 5.326 0.000 0.000 0.000 5.326" Properties=species:S:1:pos:R:3 pbc="T T T"
La 0.000 0.000 0.000
Zr 0.000 2.663 2.663
Zr 2.663 0.000 2.663
Zr 2.663 2.663 0.000
In 2.663 2.663 2.663
```

Values from the calculation:
total magnetic moment	0.536	μB/atom
Fermi-level density of states	9.01	states/eV/cell
E_tot	-6.296	eV/atom
E_form	4.12	eV/f.u.

Q: The highest total magnetic moment belongs to which entry?
A: LaZr3In

Q: Among the records above, which one has the lowest Fermi-level density of states?
A: LaYIn

Please write out number 2 again, unchanged.
The following is a PBEsol calculation of a relaxed LaYIn crystal, from Alexandria.

```
3
Lattice="-1.792 2.262 5.255 1.792 -2.262 5.255 1.792 2.262 -5.255" Properties=species:S:1:pos:R:3 pbc="T T T"
La 0.000 0.000 0.000
Y 0.000 0.000 7.314
In 0.000 0.000 3.520
```

Values from the calculation:
total magnetic moment	0.000	μB/atom
Fermi-level density of states	3.22	states/eV/cell
E_tot	-5.380	eV/atom
E_form	-0.99	eV/f.u.